Entry from Alexandria: Cu6Sn2Au after structural relaxation (PBE-GGA).

abc: 5.8028 5.8028 4.9464
angles: 90.00 90.00 120.00
Space group P-3m1 (No. 164)
One atom of each set of equivalent atoms:
1 Cu 0.1901 0.3801 0.1609
2 Sn 0.3333 0.6667 0.6667
3 Au 0.0000 0.0000 0.5000

Values from the calculation:
E_form: 0.11 eV per atom


Entry from Alexandria: CeSi2Rh3 after structural relaxation (PBE-GGA).

abc: 16.140 3.964 9.720
angles: 90.00 108.19 90.00
Space group C2/m (No. 12)
One atom of each set of equivalent atoms:
1 Ce 0.000 0.000 0.000
2 Ce 0.160 0.000 0.700
3 Si 0.036 0.500 0.772
4 Si 0.137 0.500 0.447
5 Si 0.195 0.000 0.125
6 Rh 0.000 0.500 0.500
7 Rh 0.043 0.000 0.330
8 Rh 0.120 0.500 0.195
9 Rh 0.177 0.500 0.956
10 Rh 0.220 0.000 0.391

Values from the calculation:
formation energy from raw total energies: -974.2 meV per atom


Entry from Alexandria: SmAgAu after structural relaxation (PBE-GGA).

abc: 7.7309 7.7309 4.0035
angles: 90.00 90.00 120.00
Space group P-62m (No. 189)
One atom of each set of equivalent atoms:
1 Sm 0.0000 0.5995 0.0000
2 Ag 0.0000 0.2609 0.5000
3 Au 0.0000 0.0000 0.0000
4 Au 0.3333 0.6667 0.5000

Values from the calculation:
E_form: -0.58 eV per atom


Entry from Alexandria: HoAgSnPt after structural relaxation (PBE-GGA).

abc: 6.868 6.868 6.868
angles: 90.00 90.00 90.00
Space group F-43m (No. 216)
One atom of each set of equivalent atoms:
1 Ho 0.000 0.000 0.000
2 Ag 0.250 0.250 0.250
3 Sn 0.000 0.000 0.500
4 Pt 0.250 0.250 0.750

Values from the calculation:
E_form: -0.68 eV per atom


| no. | total magnetic moment (μB/cell) | raw total energy (eV/atom) |
| --- | --- | --- |
| 1 | 0.00 | -3.870 |
| 2 | 0.00 | -7.447 |
| 3 | 0.00 | -4.195 |
| 4 | 0.00 | -5.045 |